1.
VASP calculation (PBE-GGA) on crystalline La2Pr5Nd2 at its relaxed geometry.

For the calculated volume, the calculation gives 657 Å³/cell. Its space group is Ima2, No. 46. Its formation energy is 166 meV/atom. For the energy relative to the lowest polymorph listed for this composition, the calculation gives 0.39 eV per formula unit.

a b c (Å): 10.4206 10.4206 10.4206
angles (deg): 85.15 108.04 140.80
Element x y z (fractional)
1 La 0.0000 0.0000 0.0000
2 La 0.0000 0.5000 0.5000
3 La 0.9316 0.6848 0.7468
4 La 0.9380 0.1848 0.2532
5 Pr 0.0543 0.3657 0.7974
6 Pr 0.0543 0.7570 0.1886
7 Pr 0.3656 0.2772 0.3739
8 Pr 0.3656 0.4917 0.5884
9 Pr 0.3731 0.8558 0.0173
10 Pr 0.5683 0.2570 0.2026
11 Pr 0.5683 0.8657 0.8114
12 Pr 0.8384 0.3558 0.9827
13 Pr 0.9033 0.7772 0.4116
14 Pr 0.9033 0.9917 0.6261
15 Nd 0.4599 0.0883 0.6204
16 Nd 0.4599 0.3395 0.8716
17 Nd 0.4679 0.5883 0.1284
18 Nd 0.4679 0.8395 0.3796


2.
VASP calculation (PBE-GGA) on crystalline Tm2ZnGe2Rh5 at its relaxed geometry.

For the calculated volume, the calculation gives 331 Å³/cell. Its space group is P4/mbm, No. 127. Its formation energy is -788 meV/atom.

a b c (Å): 9.6718 9.6718 3.5426
angles (deg): 90.00 90.00 90.00
Element x y z (fractional)
1 Tm 0.1724 0.3276 0.0000
2 Tm 0.3276 0.8276 0.0000
3 Tm 0.6724 0.1724 0.0000
4 Tm 0.8276 0.6724 0.0000
5 Zn 0.0000 0.0000 0.0000
6 Zn 0.5000 0.5000 0.0000
7 Ge 0.1274 0.6274 0.0000
8 Ge 0.3726 0.1274 0.0000
9 Ge 0.6274 0.8726 0.0000
10 Ge 0.8726 0.3726 0.0000
11 Rh 0.0000 0.5000 0.5000
12 Rh 0.0670 0.7952 0.5000
13 Rh 0.2048 0.0670 0.5000
14 Rh 0.2952 0.5670 0.5000
15 Rh 0.4330 0.2952 0.5000
16 Rh 0.5000 0.0000 0.5000
17 Rh 0.5670 0.7048 0.5000
18 Rh 0.7048 0.4330 0.5000
19 Rh 0.7952 0.9330 0.5000
20 Rh 0.9330 0.2048 0.5000